First-principles (PBE) data for a geometry-optimized Tc3NiTe structure, as listed in Alexandria.

abc: 4.7778 4.7778 4.7778
angles: 90.00 90.00 90.00
Site moments in Bohr magnetons follow the coordinates.
Atoms (fractional coordinates):
Ni 0.5000 0.5000 0.5000  0.72
Te 0.0000 0.0000 0.0000  0.01
Tc 0.0000 0.5000 0.0000  -0.20
Tc 0.0000 0.0000 0.5000  -0.22
Tc 0.5000 0.0000 0.0000  -0.13

The total DFT energy (no corrections) comes out at -29.444 eV per cell. As for the energy above the most stable polymorph in this dataset: 0.771 eV/atom. As for the uncorrected formation energy: 2.115 eV/atom.

First-principles (PBE) data for a geometry-optimized LaAuS2 structure, as listed in Alexandria.

abc: 13.0716 5.9697 5.8639
angles: 90.00 116.63 90.00
Atoms (fractional coordinates):
S 0.9060 0.7513 0.9058
S 0.0940 0.2487 0.0942
S 0.5940 0.2513 0.5942
S 0.4060 0.7487 0.4058
S 0.1245 0.7496 0.6244
S 0.8755 0.2504 0.3756
S 0.3755 0.2496 0.8756
S 0.6245 0.7504 0.1244
Au 0.7502 0.0017 0.7502
Au 0.2498 0.9983 0.2498
Au 0.7498 0.5017 0.7498
Au 0.2502 0.4983 0.2502
La 0.1256 0.2497 0.6259
La 0.8744 0.7503 0.3741
La 0.3744 0.7497 0.8741
La 0.6256 0.2503 0.1259

The total DFT energy (no corrections) comes out at -86.854 eV per cell. As for the energy above the most stable polymorph in this dataset: 0.085 eV/atom. As for the uncorrected formation energy: -1.313 eV/atom.

First-principles (PBE) data for a geometry-optimized KInSi2I structure, as listed in Alexandria.

abc: 5.5442 6.1714 5.5442
angles: 90.00 90.00 90.00
Atoms (fractional coordinates):
I 0.0000 0.0000 0.0000
K 0.5000 0.5000 0.5000
Si 0.0000 0.0000 0.5000
Si 0.5000 0.0000 0.0000
In 0.0000 0.5000 0.0000

The total DFT energy (no corrections) comes out at -11.904 eV per cell. As for the uncorrected formation energy: 0.866 eV/atom.

First-principles (PBE) data for a geometry-optimized CsNa3C structure, as listed in Alexandria.

abc: 5.3096 5.3096 5.3096
angles: 90.00 90.00 90.00
Atoms (fractional coordinates):
Cs 0.5000 0.5000 0.5000
Na 0.0000 0.5000 0.0000
Na 0.0000 0.0000 0.5000
Na 0.5000 0.0000 0.0000
C 0.0000 0.0000 0.0000

The total DFT energy (no corrections) comes out at -10.094 eV per cell. As for the energy above the most stable polymorph in this dataset: 0.000 eV/atom. Its formation energy from the elements is 0.7881 eV per atom.

First-principles (PBE) data for a geometry-optimized Ag2WBr structure, as listed in Alexandria.

abc: 4.4432 2.9135 5.9741
angles: 75.87 90.00 90.00
Atoms (fractional coordinates):
Br 0.0000 0.6714 0.5330
Ag 0.0000 0.9374 0.0006
Ag 0.5000 0.3210 0.2317
W 0.5000 0.5702 0.7347

The total DFT energy (no corrections) comes out at -17.474 eV per cell. As for the energy above the most stable polymorph in this dataset: 0.262 eV/atom. As for the uncorrected formation energy: 0.714 eV/atom.

First-principles (PBE) data for a geometry-optimized LiSbAsI2 structure, as listed in Alexandria.

abc: 5.1837 5.1837 5.3017
angles: 90.00 90.00 90.00
Site moments in Bohr magnetons follow the coordinates.
Atoms (fractional coordinates):
I 0.0000 0.5000 0.0000  0.00
I 0.5000 0.0000 0.0000  0.00
Sb 0.0000 0.0000 0.5000  -0.01
As 0.5000 0.5000 0.5000  0.07
Li 0.0000 0.0000 0.0000  0.00

The total DFT energy (no corrections) comes out at -11.795 eV per cell. As for the energy above the most stable polymorph in this dataset: 0.274 eV/atom. As for the uncorrected formation energy: 0.398 eV/atom.

First-principles (PBE) data for a geometry-optimized KBaHgSe2 structure, as listed in Alexandria.

abc: 5.8282 5.7633 5.8282
angles: 90.00 90.00 90.00
Atoms (fractional coordinates):
K 0.5000 0.5000 0.5000
Hg 0.0000 0.0000 0.0000
Se 0.0000 0.0000 0.5000
Se 0.5000 0.0000 0.0000
Ba 0.0000 0.5000 0.0000

The total DFT energy (no corrections) comes out at -11.920 eV per cell. As for the energy above the most stable polymorph in this dataset: 0.713 eV/atom. As for the uncorrected formation energy: -0.326 eV/atom.

First-principles (PBE) data for a geometry-optimized BeP2RhCl structure, as listed in Alexandria.

abc: 4.1956 4.1956 4.4131
angles: 90.00 90.00 90.00
Atoms (fractional coordinates):
P 0.0000 0.5000 0.0000
P 0.5000 0.0000 0.0000
Rh 0.5000 0.5000 0.5000
Be 0.0000 0.0000 0.0000
Cl 0.0000 0.0000 0.5000

The total DFT energy (no corrections) comes out at -20.486 eV per cell. As for the energy above the most stable polymorph in this dataset: 0.000 eV/atom. As for the uncorrected formation energy: 0.652 eV/atom.

First-principles (PBE) data for a geometry-optimized Sr2MgSc structure, as listed in Alexandria.

abc: 5.5807 3.9193 7.2200
angles: 74.30 90.00 90.00
Site moments in Bohr magnetons follow the coordinates.
Atoms (fractional coordinates):
Mg 0.0000 0.6819 0.5123  0.01
Sc 0.5000 0.5675 0.7400  0.47
Sr 0.0000 0.9630 0.9488  0.04
Sr 0.5000 0.2877 0.2989  0.05

The total DFT energy (no corrections) comes out at -10.452 eV per cell. Its formation energy from the elements is 0.2096 eV per atom.

First-principles (PBE) data for a geometry-optimized DyUNi4 structure, as listed in Alexandria.

abc: 5.0377 5.0377 5.0377
angles: 60.00 60.00 60.00
Site moments in Bohr magnetons follow the coordinates.
Atoms (fractional coordinates):
Ni 0.6246 0.6246 0.1262  -0.01
Ni 0.6246 0.1262 0.6246  -0.01
Ni 0.6246 0.6246 0.6246  -0.01
Ni 0.1262 0.6246 0.6246  -0.01
U 0.2500 0.2500 0.2500  2.07
Dy 0.0000 0.0000 0.0000  0.26

The total DFT energy (no corrections) comes out at -40.528 eV per cell. Its formation energy from the elements is -0.2520 eV per atom.

First-principles (PBE) data for a geometry-optimized RbSbOs2W structure, as listed in Alexandria.

abc: 4.9051 5.7131 4.9051
angles: 90.00 90.00 90.00
Site moments in Bohr magnetons follow the coordinates.
Atoms (fractional coordinates):
Sb 0.0000 0.0000 0.0000  0.03
Os 0.0000 0.0000 0.5000  -0.44
Os 0.5000 0.0000 0.0000  -0.45
Rb 0.0000 0.5000 0.0000  0.05
W 0.5000 0.5000 0.5000  3.12

The total DFT energy (no corrections) comes out at -26.546 eV per cell. As for the uncorrected formation energy: 2.791 eV/atom.

First-principles (PBE) data for a geometry-optimized SmHoCoHg structure, as listed in Alexandria.

abc: 5.0723 5.0723 5.0723
angles: 60.00 60.00 60.00
Site moments in Bohr magnetons follow the coordinates.
Atoms (fractional coordinates):
Co 0.2500 0.2500 0.2500  1.06
Hg 0.7500 0.7500 0.7500  -0.02
Sm 0.5000 0.5000 0.5000  -0.13
Ho 0.0000 0.0000 0.0000  -0.20

The total DFT energy (no corrections) comes out at -17.485 eV per cell. Its formation energy from the elements is -0.1952 eV per atom.

Among the records above, which one has the lowest total DFT energy (no corrections)? LaAuS2